{"formula": "Sm3Dy12Cu5", "functional": "GGA-PBE", "state": "relaxed", "e_form_ev_per_atom": 0.45, "n_ef_per_ev_cell": 94.42, "space_group": "Ia-3d, No. 230", "lattice": [[-8.676, 8.676, 8.676], [8.676, -8.676, 8.676], [8.676, 8.676, -8.676]], "species": ["Sm", "Sm", "Sm", "Sm", "Sm", "Sm", "Sm", "Sm", "Sm", "Sm", "Sm", "Sm", "Dy", "Dy", "Dy", "Dy", "Dy", "Dy", "Dy", "Dy", "Dy", "Dy", "Dy", "Dy", "Dy", "Dy", "Dy", "Dy", "Dy", "Dy", "Dy", "Dy", "Dy", "Dy", "Dy", "Dy", "Dy", "Dy", "Dy", "Dy", "Dy", "Dy", "Dy", "Dy", "Dy", "Dy", "Dy", "Dy", "Dy", "Dy", "Dy", "Dy", "Dy", "Dy", "Dy", "Dy", "Dy", "Dy", "Dy", "Dy", "Cu", "Cu", "Cu", "Cu", "Cu", "Cu", "Cu", "Cu", "Cu", "Cu", "Cu", "Cu", "Cu", "Cu", "Cu", "Cu", "Cu", "Cu", "Cu", "Cu"], "frac_coords": [[0.125, 0.250, 0.375], [0.125, 0.375, 0.750], [0.250, 0.375, 0.125], [0.250, 0.875, 0.625], [0.375, 0.125, 0.250], [0.375, 0.750, 0.125], [0.625, 0.250, 0.875], [0.625, 0.875, 0.750], [0.750, 0.125, 0.375], [0.750, 0.625, 0.875], [0.875, 0.625, 0.250], [0.875, 0.750, 0.625], [0.027, 0.203, 0.108], [0.027, 0.324, 0.919], [0.081, 0.608, 0.405], [0.081, 0.973, 0.676], [0.095, 0.703, 0.676], [0.095, 0.892, 0.419], [0.108, 0.027, 0.203], [0.108, 0.581, 0.905], [0.176, 0.203, 0.595], [0.176, 0.473, 0.581], [0.203, 0.108, 0.027], [0.203, 0.595, 0.176], [0.297, 0.324, 0.905], [0.297, 0.473, 0.392], [0.324, 0.905, 0.297], [0.324, 0.919, 0.027], [0.392, 0.297, 0.473], [0.392, 0.595, 0.919], [0.405, 0.081, 0.608], [0.405, 0.824, 0.797], [0.419, 0.095, 0.892], [0.419, 0.824, 0.527], [0.473, 0.392, 0.297], [0.473, 0.581, 0.176], [0.527, 0.419, 0.824], [0.527, 0.608, 0.703], [0.581, 0.176, 0.473], [0.581, 0.905, 0.108], [0.595, 0.176, 0.203], [0.595, 0.919, 0.392], [0.608, 0.405, 0.081], [0.608, 0.703, 0.527], [0.676, 0.081, 0.973], [0.676, 0.095, 0.703], [0.703, 0.527, 0.608], [0.703, 0.676, 0.095], [0.797, 0.405, 0.824], [0.797, 0.892, 0.973], [0.824, 0.527, 0.419], [0.824, 0.797, 0.405], [0.892, 0.419, 0.095], [0.892, 0.973, 0.797], [0.905, 0.108, 0.581], [0.905, 0.297, 0.324], [0.919, 0.027, 0.324], [0.919, 0.392, 0.595], [0.973, 0.676, 0.081], [0.973, 0.797, 0.892], [0.000, 0.000, 0.000], [0.000, 0.000, 0.500], [0.000, 0.500, 0.000], [0.000, 0.500, 0.500], [0.125, 0.750, 0.875], [0.125, 0.875, 0.250], [0.250, 0.125, 0.875], [0.250, 0.625, 0.375], [0.375, 0.250, 0.625], [0.375, 0.625, 0.750], [0.500, 0.000, 0.000], [0.500, 0.000, 0.500], [0.500, 0.500, 0.000], [0.500, 0.500, 0.500], [0.625, 0.375, 0.250], [0.625, 0.750, 0.375], [0.750, 0.375, 0.625], [0.750, 0.875, 0.125], [0.875, 0.125, 0.750], [0.875, 0.250, 0.125]]}



{"formula": "TaBeAs2", "functional": "GGA-PBE", "state": "relaxed", "e_form_ev_per_atom": 0.25, "n_ef_per_ev_cell": 1.97, "space_group": "Cmmm, No. 65", "lattice": [[1.724, -2.503, 0.000], [1.724, 2.503, 0.000], [0.000, 0.000, 7.456]], "species": ["Ta", "Be", "As", "As"], "frac_coords": [[0.000, 0.000, 0.000], [0.000, 0.000, 0.500], [0.500, 0.500, 0.272], [0.500, 0.500, 0.728]]}



{"formula": "KBaIn2", "functional": "GGA-PBE", "state": "relaxed", "e_form_ev_per_atom": -0.15, "n_ef_per_ev_cell": 3.56, "space_group": "Pmmm, No. 47", "polymorph_energy_ev_per_atom": 0.072, "lattice": [[4.133, 0.000, 0.000], [0.000, 4.333, 0.000], [0.000, 0.000, 8.666]], "species": ["K", "Ba", "In", "In"], "frac_coords": [[0.000, 0.000, 0.000], [0.000, 0.000, 0.500], [0.500, 0.500, 0.261], [0.500, 0.500, 0.739]]}



{"formula": "Pr6Si2OsBr3", "functional": "GGA-PBE", "state": "relaxed", "formation_energy_uncorrected_mev_per_atom": -930, "n_ef_per_ev_cell": 6.77, "space_group": "C2/m, No. 12", "lattice": [[9.691, -2.121, 0.000], [9.691, 2.121, 0.000], [-2.647, 0.000, 8.747]], "species": ["Pr", "Pr", "Pr", "Pr", "Pr", "Pr", "Si", "Si", "Os", "Br", "Br", "Br"], "frac_coords": [[0.006, 0.006, 0.218], [0.324, 0.324, 0.435], [0.351, 0.351, 0.895], [0.649, 0.649, 0.105], [0.676, 0.676, 0.565], [0.994, 0.994, 0.782], [0.165, 0.165, 0.339], [0.835, 0.835, 0.661], [0.500, 0.500, 0.000], [0.173, 0.173, 0.835], [0.500, 0.500, 0.500], [0.827, 0.827, 0.165]]}



{"formula": "CeZr11O24", "functional": "GGA-PBE", "state": "relaxed", "formation_energy_uncorrected_mev_per_atom": -3342, "n_ef_per_ev_cell": 0.00, "space_group": "P1, No. 1", "lattice": [[6.910, 0.000, 0.000], [-3.320, 6.695, 0.000], [-0.281, -0.791, 9.695]], "species": ["Ce", "Zr", "Zr", "Zr", "Zr", "Zr", "Zr", "Zr", "Zr", "Zr", "Zr", "Zr", "O", "O", "O", "O", "O", "O", "O", "O", "O", "O", "O", "O", "O", "O", "O", "O", "O", "O", "O", "O", "O", "O", "O", "O"], "frac_coords": [[0.000, 0.000, 0.000], [0.154, 0.346, 0.734], [0.190, 0.886, 0.690], [0.296, 0.120, 0.380], [0.326, 0.660, 0.332], [0.490, 0.007, 0.073], [0.519, 0.552, 0.027], [0.623, 0.784, 0.706], [0.661, 0.330, 0.665], [0.820, 0.677, 0.404], [0.856, 0.220, 0.362], [0.953, 0.451, 0.042], [0.187, 0.824, 0.457], [0.192, 0.342, 0.958], [0.209, 0.355, 0.353], [0.233, 0.045, 0.170], [0.265, 0.949, 0.902], [0.270, 0.648, 0.709], [0.286, 0.671, 0.110], [0.296, 0.183, 0.611], [0.520, 0.490, 0.788], [0.528, 0.996, 0.299], [0.543, 0.023, 0.684], [0.554, 0.711, 0.496], [0.593, 0.625, 0.238], [0.595, 0.310, 0.043], [0.615, 0.842, 0.943], [0.623, 0.339, 0.441], [0.844, 0.164, 0.128], [0.858, 0.663, 0.627], [0.866, 0.678, 0.021], [0.886, 0.378, 0.830], [0.928, 0.294, 0.571], [0.939, 0.982, 0.380], [0.957, 0.006, 0.764], [0.960, 0.515, 0.281]]}



{"formula": "RbHg2Au", "functional": "GGA-PBE", "state": "relaxed", "e_form_ev_per_atom": -0.12, "n_ef_per_ev_cell": 0.75, "space_group": "Fm-3m, No. 225", "polymorph_energy_ev_per_atom": 0.138, "lattice": [[0.000, 3.946, 3.946], [3.946, 0.000, 3.946], [3.946, 3.946, 0.000]], "species": ["Rb", "Hg", "Hg", "Au"], "frac_coords": [[0.000, 0.000, 0.000], [0.250, 0.250, 0.250], [0.750, 0.750, 0.750], [0.500, 0.500, 0.500]]}